[1]
# ZnGeNO

A geometry-optimized ZnGeNO structure (GGA-PBE, the Open Quantum Materials Database).

Results
The space group is No. 129. As for the energy above the most stable polymorph in this dataset: 491 meV/atom.

a = 3.6174 Å, b = 3.6174 Å, c = 7.8059 Å
α = 90.00°, β = 90.00°, γ = 90.00°
Last column: nearest neighbours and their distance in Å.
Positions (direct):
Zn 0.2500 0.7500 0.0000  4 N 2.04
Zn 0.7500 0.2500 0.0000  4 N 2.04
Ge 0.2500 0.2500 0.3664  4 O 2.09
Ge 0.7500 0.7500 0.6336  4 O 2.09
N 0.2500 0.2500 0.8779  4 Zn 2.04
N 0.7500 0.7500 0.1221  4 Zn 2.04
O 0.2500 0.7500 0.5000  4 Ge 2.09
O 0.7500 0.2500 0.5000  4 Ge 2.09

[2]
# SmThPa

A geometry-optimized SmThPa structure (GGA-PBE, the Open Quantum Materials Database).

Results
Its formation energy is 1055 meV/atom. The space group is No. 216. The calculation puts the spin magnetization at 0.00 μB per atom.

a = 5.2216 Å, b = 5.2216 Å, c = 5.2216 Å
α = 60.00°, β = 60.00°, γ = 60.00°
Last column: nearest neighbours and their distance in Å.
Positions (direct):
Sm 0.0000 0.0000 0.0000  4 Pa 3.20, 4 Th 3.20
Th 0.2500 0.2500 0.2500  4 Sm 3.20
Pa 0.7500 0.7500 0.7500  4 Sm 3.20

[3]
# Lu2GaOs3

A geometry-optimized Lu2GaOs3 structure (GGA-PBE, the Open Quantum Materials Database).

Results
The space group is No. 194. The total energy comes out at -8.0195 eV/atom. The calculation puts the spin magnetization at 0.00 μB per atom.

a = 5.3542 Å, b = 5.3542 Å, c = 8.4957 Å
α = 90.00°, β = 90.00°, γ = 120.00°
Last column: nearest neighbours and their distance in Å.
Positions (direct):
Lu 0.3333 0.6667 0.0678  9 Os 3.09, 4 Lu 3.10-3.30, 3 Ga 3.14
Lu 0.3333 0.6667 0.4322  9 Os 3.09, 4 Lu 3.10-3.30, 3 Ga 3.14
Lu 0.6667 0.3333 0.5678  9 Os 3.09, 4 Lu 3.10-3.30, 3 Ga 3.14
Lu 0.6667 0.3333 0.9322  9 Os 3.09, 4 Lu 3.10-3.30, 3 Ga 3.14
Ga 0.0000 0.0000 0.0000  6 Os 2.66
Ga 0.0000 0.0000 0.5000  6 Os 2.66
Os 0.1723 0.3445 0.7500  4 Os 2.59-2.77, 2 Ga 2.66
Os 0.1723 0.8277 0.7500  4 Os 2.59-2.77, 2 Ga 2.66
Os 0.3445 0.1723 0.2500  4 Os 2.59-2.77, 2 Ga 2.66
Os 0.6555 0.8277 0.7500  4 Os 2.59-2.77, 2 Ga 2.66
Os 0.8277 0.1723 0.2500  4 Os 2.59-2.77, 2 Ga 2.66
Os 0.8277 0.6555 0.2500  4 Os 2.59-2.77, 2 Ga 2.66

[4]
# RbErNiS3

A geometry-optimized RbErNiS3 structure (GGA-PBE, the Open Quantum Materials Database).

Results
The space group is No. 62. The calculation puts the spin magnetization at 0.03 μB per atom. As for the energy above the most stable polymorph in this dataset: 78 meV/atom.

a = 10.9615 Å, b = 4.1137 Å, c = 11.9559 Å
α = 90.00°, β = 90.00°, γ = 90.00°
Last column: nearest neighbours and their distance in Å.
Positions (direct):
Rb 0.1602 0.2500 0.0060  8 S 3.29-3.58, 3 Ni 3.47-3.52
Rb 0.3398 0.7500 0.5060  8 S 3.29-3.58, 3 Ni 3.47-3.52
Rb 0.6602 0.2500 0.4940  8 S 3.29-3.58, 3 Ni 3.47-3.52
Rb 0.8398 0.7500 0.9940  8 S 3.29-3.58, 3 Ni 3.47-3.52
Er 0.0062 0.2500 0.6578  6 S 2.72-2.84
Er 0.4938 0.7500 0.1578  6 S 2.72-2.84
Er 0.5062 0.2500 0.8422  6 S 2.72-2.84
Er 0.9938 0.7500 0.3422  6 S 2.72-2.84
Ni 0.2386 0.2500 0.2918  4 S 2.21-2.32
Ni 0.2614 0.7500 0.7918  4 S 2.21-2.32
Ni 0.7386 0.2500 0.2082  4 S 2.21-2.32
Ni 0.7614 0.7500 0.7082  4 S 2.21-2.32
S 0.0577 0.7500 0.7995  1 Ni 2.23
S 0.1145 0.2500 0.4485  1 Ni 2.32
S 0.2202 0.7500 0.2276  2 Ni 2.21
S 0.2798 0.2500 0.7276  2 Ni 2.21
S 0.3855 0.7500 0.9485  1 Ni 2.32
S 0.4423 0.2500 0.2995  1 Ni 2.23
S 0.5577 0.7500 0.7005  1 Ni 2.23
S 0.6145 0.2500 0.0515  1 Ni 2.32
S 0.7202 0.7500 0.2724  2 Ni 2.21
S 0.7798 0.2500 0.7724  2 Ni 2.21
S 0.8855 0.7500 0.5515  1 Ni 2.32
S 0.9423 0.2500 0.2005  1 Ni 2.23

[5]
# UPCl10

A geometry-optimized UPCl10 structure (GGA-PBE, the Open Quantum Materials Database).

Results
The space group is No. 2. The total energy comes out at -4.0829 eV/atom. The calculation puts the spin magnetization at 0.08 μB per atom.

a = 7.0766 Å, b = 7.4102 Å, c = 13.7676 Å
α = 90.64°, β = 91.37°, γ = 105.24°
Last column: nearest neighbours and their distance in Å.
Positions (direct):
U 0.0000 0.0000 0.0000  6 Cl 2.51-2.55
U 0.0000 0.0000 0.5000  6 Cl 2.52-2.54
P 0.3835 0.5876 0.2623  4 Cl 1.95-1.96
P 0.6165 0.4124 0.7377  4 Cl 1.95-1.96
Cl 0.1159 0.0037 0.1743  1 U 2.51
Cl 0.1173 0.2933 0.6058  1 U 2.54
Cl 0.1292 0.5195 0.1935  1 P 1.95
Cl 0.1409 0.8129 0.6217  1 U 2.53
Cl 0.2429 0.3131 0.9751  1 U 2.53
Cl 0.2504 0.8299 0.9462  1 U 2.55
Cl 0.3252 0.0846 0.4174  1 U 2.52
Cl 0.3430 0.5821 0.4023  1 P 1.95
Cl 0.4686 0.1631 0.7751  1 P 1.95
Cl 0.4713 0.5930 0.7738  1 P 1.96
Cl 0.5287 0.4070 0.2262  1 P 1.96
Cl 0.5314 0.8369 0.2249  1 P 1.95
Cl 0.6570 0.4179 0.5977  1 P 1.95
Cl 0.6748 0.9154 0.5826  1 U 2.52
Cl 0.7496 0.1701 0.0538  1 U 2.55
Cl 0.7571 0.6869 0.0249  1 U 2.53
Cl 0.8591 0.1871 0.3783  1 U 2.53
Cl 0.8708 0.4805 0.8065  1 P 1.95
Cl 0.8827 0.7067 0.3942  1 U 2.54
Cl 0.8841 0.9963 0.8257  1 U 2.51

[6]
# NaNiW

A geometry-optimized NaNiW structure (GGA-PBE, the Open Quantum Materials Database).

Results
The space group is No. 216. The calculation puts the spin magnetization at 0.00 μB per atom. As for the energy above the most stable polymorph in this dataset: 0 meV/atom.

a = 4.1569 Å, b = 4.1569 Å, c = 4.1569 Å
α = 60.00°, β = 60.00°, γ = 60.00°
Last column: nearest neighbours and their distance in Å.
Positions (direct):
Na 0.0000 0.0000 0.0000  4 Ni 2.55
Ni 0.2500 0.2500 0.2500  4 W 2.55, 4 Na 2.55
W 0.5000 0.5000 0.5000  4 Ni 2.55

[7]
# LuNpU

A geometry-optimized LuNpU structure (GGA-PBE, the Open Quantum Materials Database).

Results
Its formation energy is 1118 meV/atom. The space group is No. 216. The calculation puts the spin magnetization at 2.58 μB per atom. As for the energy above the most stable polymorph in this dataset: 0 meV/atom.

a = 4.8652 Å, b = 4.8652 Å, c = 4.8652 Å
α = 60.00°, β = 60.00°, γ = 60.00°
Last column: nearest neighbours and their distance in Å.
Positions (direct):
Lu 0.0000 0.0000 0.0000  4 U 2.98
Np 0.5000 0.5000 0.5000  4 U 2.98
U 0.2500 0.2500 0.2500  4 Np 2.98, 4 Lu 2.98

[8]
# TbNbSbI2

A geometry-optimized TbNbSbI2 structure (GGA-PBE, the Open Quantum Materials Database).

Results
The space group is No. 156. The total energy comes out at -4.9964 eV/atom. The calculation puts the spin magnetization at 0.32 μB per atom.

a = 4.2797 Å, b = 4.2797 Å, c = 10.4493 Å
α = 90.00°, β = 90.00°, γ = 120.00°
Last column: nearest neighbours and their distance in Å.
Positions (direct):
Tb 0.0000 0.0000 0.0000  3 Sb 2.99, 3 I 3.17
Nb 0.3333 0.6667 0.2840  3 Sb 2.78, 3 I 3.04
Sb 0.6667 0.3333 0.1614  3 Nb 2.78, 3 Tb 2.99
I 0.0000 0.0000 0.4534  3 Nb 3.04
I 0.3333 0.6667 0.8095  3 Tb 3.17

[9]
# RePd

A geometry-optimized RePd structure (GGA-PBE, the Open Quantum Materials Database).

Results
Its formation energy is 859 meV/atom. The space group is No. 194. The calculation puts the spin magnetization at 0.00 μB per atom. As for the energy above the most stable polymorph in this dataset: 0 meV/atom.

a = 4.0913 Å, b = 4.0913 Å, c = 4.8481 Å
α = 90.00°, β = 90.00°, γ = 120.00°
Last column: nearest neighbours and their distance in Å.
Positions (direct):
Re 0.0000 0.0000 0.0000  2 Re 2.42, 6 Pd 2.65
Re 0.0000 0.0000 0.5000  2 Re 2.42, 6 Pd 2.65
Pd 0.3333 0.6667 0.2500  6 Re 2.65
Pd 0.6667 0.3333 0.7500  6 Re 2.65

[10]
# HfRePd2

A geometry-optimized HfRePd2 structure (GGA-PBE, the Open Quantum Materials Database).

Results
Its formation energy is -38 meV/atom. The space group is No. 216. The calculation puts the spin magnetization at 0.52 μB per atom.

a = 4.5254 Å, b = 4.5254 Å, c = 4.5254 Å
α = 60.00°, β = 60.00°, γ = 60.00°
Last column: nearest neighbours and their distance in Å.
Positions (direct):
Hf 0.0000 0.0000 0.0000  4 Re 2.77, 4 Pd 2.77
Re 0.7500 0.7500 0.7500  4 Hf 2.77, 4 Pd 2.77
Pd 0.2500 0.2500 0.2500  4 Hf 2.77, 4 Pd 2.77
Pd 0.5000 0.5000 0.5000  4 Re 2.77, 4 Pd 2.77

[11]
# NaTmCdSe3

A geometry-optimized NaTmCdSe3 structure (GGA-PBE, the Open Quantum Materials Database).

Results
The space group is No. 62. The calculation puts the spin magnetization at 0.00 μB per atom. As for the energy above the most stable polymorph in this dataset: 31 meV/atom.

a = 12.7033 Å, b = 4.1103 Å, c = 12.2179 Å
α = 90.00°, β = 90.00°, γ = 90.00°
Last column: nearest neighbours and their distance in Å.
Positions (direct):
Na 0.1259 0.2500 0.0058  5 Se 2.98-3.06
Na 0.3741 0.7500 0.5058  5 Se 2.98-3.06
Na 0.6259 0.2500 0.4942  5 Se 2.98-3.06
Na 0.8741 0.7500 0.9942  5 Se 2.98-3.06
Tm 0.0498 0.2500 0.6664  6 Se 2.78-3.00
Tm 0.4502 0.7500 0.1664  6 Se 2.78-3.00
Tm 0.5498 0.2500 0.8336  6 Se 2.78-3.00
Tm 0.9502 0.7500 0.3336  6 Se 2.78-3.00
Cd 0.2333 0.2500 0.2845  4 Se 2.60-2.69
Cd 0.2667 0.7500 0.7845  4 Se 2.60-2.69
Cd 0.7333 0.2500 0.2155  4 Se 2.60-2.69
Cd 0.7667 0.7500 0.7155  4 Se 2.60-2.69
Se 0.0613 0.7500 0.8367  1 Cd 2.69, 2 Tm 2.93
Se 0.0774 0.2500 0.4228  1 Cd 2.60, 2 Tm 2.83
Se 0.2323 0.7500 0.1428  2 Cd 2.69, 1 Tm 2.78, 2 Na 2.98
Se 0.2677 0.2500 0.6428  2 Cd 2.69, 1 Tm 2.78, 2 Na 2.98
Se 0.4226 0.7500 0.9228  1 Cd 2.60, 2 Tm 2.83
Se 0.4387 0.2500 0.3367  1 Cd 2.69, 2 Tm 2.93
Se 0.5613 0.7500 0.6633  1 Cd 2.69, 2 Tm 2.93
Se 0.5774 0.2500 0.0772  1 Cd 2.60, 2 Tm 2.83
Se 0.7323 0.7500 0.3572  2 Cd 2.69, 1 Tm 2.78, 2 Na 2.98
Se 0.7677 0.2500 0.8572  2 Cd 2.69, 1 Tm 2.78, 2 Na 2.98
Se 0.9226 0.7500 0.5772  1 Cd 2.60, 2 Tm 2.83
Se 0.9387 0.2500 0.1633  1 Cd 2.69, 2 Tm 2.93

[12]
# KDyGa4Pt2

A geometry-optimized KDyGa4Pt2 structure (GGA-PBE, the Open Quantum Materials Database).

Results
The space group is No. 38. The total energy comes out at -4.3078 eV/atom. The calculation puts the spin magnetization at 0.00 μB per atom.

a = 6.9696 Å, b = 5.6280 Å, c = 5.6280 Å
α = 45.69°, β = 90.00°, γ = 90.00°
Last column: nearest neighbours and their distance in Å.
Positions (direct):
K 0.0000 0.0000 0.0000  3 Pt 2.92-3.15, 6 Ga 3.13-3.24
Dy 0.5000 0.8428 0.8428  3 Pt 2.98-3.11, 6 Ga 3.10-3.20
Ga 0.1974 0.2825 0.2825  3 Pt 2.64-2.67, 1 Ga 2.75
Ga 0.3087 0.5626 0.5626  3 Pt 2.65-2.69, 1 Ga 2.67
Ga 0.6913 0.5626 0.5626  3 Pt 2.65-2.69, 1 Ga 2.67
Ga 0.8026 0.2825 0.2825  3 Pt 2.64-2.67, 1 Ga 2.75
Pt 0.0000 0.7185 0.7185  6 Ga 2.67-2.69, 1 K 2.92
Pt 0.5000 0.1299 0.1299  6 Ga 2.64-2.65